This record from Alexandria via LeMat-Bulk describes a geometry-optimized RbB2Cl structure. The functional is GGA-PBEsol.

* formation energy from raw total energies: 0.797 eV per atom
* magnetization: 0.00 μB per formula unit
* Fermi-level density of states: 6.84 states/eV/cell

a b c (Å): 3.862 3.862 20.355
angles (deg): 90.00 90.00 90.00
Sites, in units of the cell vectors:
Rb: 0.000 0.250 0.375
Rb: 0.000 0.750 0.625
Rb: 0.500 0.250 0.125
Rb: 0.500 0.750 0.875
B: 0.000 0.000 0.000
B: 0.000 0.500 0.000
B: 0.250 0.250 0.750
B: 0.250 0.750 0.250
B: 0.500 0.000 0.500
B: 0.500 0.500 0.500
B: 0.750 0.250 0.750
B: 0.750 0.750 0.250
Cl: 0.000 0.250 0.875
Cl: 0.000 0.750 0.125
Cl: 0.500 0.250 0.625
Cl: 0.500 0.750 0.375